# 1
DFT (GGA-PBE) results for a geometry-optimized Tm2Mn17 structure.

Summary:
Energy of formation (meV/atom): -15

CIF file:
```
data_Tm2Mn17
_cell_length_a 8.6042
_cell_length_b 8.6042
_cell_length_c 11.5996
_cell_angle_alpha 90.00
_cell_angle_beta 90.00
_cell_angle_gamma 120.00
_symmetry_space_group_name_H-M 'R -3 m'
_symmetry_Int_Tables_number 166
_symmetry_space_group_name_Hall '-R 3 2"'
loop_
_atom_site_label
_atom_site_fract_x
_atom_site_fract_y
_atom_site_fract_z
Tm1 0.0000 0.0000 0.1451
Mn1 0.0000 0.0000 0.4002
Mn2 0.0000 0.2763 0.5000
Mn3 0.0000 0.5000 0.0000
Mn4 0.0130 0.5065 0.3632
```

# 2
DFT (GGA-PBE) results for a geometry-optimized LiNp2CuSe5 structure.

Summary:
Formation energy without anion corrections (eV/f.u.): -8.282

CIF file:
```
data_LiNp2CuSe5
_cell_length_a 3.9598
_cell_length_b 16.9516
_cell_length_c 11.4499
_cell_angle_alpha 90.00
_cell_angle_beta 90.00
_cell_angle_gamma 90.00
_symmetry_space_group_name_H-M 'C m c 21'
_symmetry_Int_Tables_number 36
_symmetry_space_group_name_Hall 'C 2c -2'
loop_
_atom_site_label
_atom_site_fract_x
_atom_site_fract_y
_atom_site_fract_z
Li1 0.0000 0.1986 0.0000
Np1 0.0000 0.1158 0.6809
Np2 0.0000 0.1250 0.2979
Cu1 0.0000 0.4237 0.4560
Se1 0.0000 0.0393 0.0604
Se2 0.0000 0.2965 0.6614
Se3 0.0000 0.3059 0.3341
Se4 0.0000 0.3552 0.9960
Se5 0.0000 0.4984 0.2754
```

# 3
DFT (GGA-PBE) results for a geometry-optimized PrBiPtAu structure.

Summary:
Energy of formation (meV/atom): -639

CIF file:
```
data_PrBiPtAu
_cell_length_a 7.2311
_cell_length_b 7.2311
_cell_length_c 7.2311
_cell_angle_alpha 90.00
_cell_angle_beta 90.00
_cell_angle_gamma 90.00
_symmetry_space_group_name_H-M 'F -4 3 m'
_symmetry_Int_Tables_number 216
_symmetry_space_group_name_Hall 'F -4 2 3'
loop_
_atom_site_label
_atom_site_fract_x
_atom_site_fract_y
_atom_site_fract_z
Pr1 0.0000 0.0000 0.0000
Bi1 0.0000 0.0000 0.5000
Pt1 0.2500 0.2500 0.7500
Au1 0.2500 0.2500 0.2500
```

# 4
DFT (GGA-PBE) results for a geometry-optimized Sm7Pb2C2 structure.

Summary:
Energy of formation (meV/atom): -146

CIF file:
```
data_Sm7Pb2C2
_cell_length_a 3.5710
_cell_length_b 15.0682
_cell_length_c 10.8813
_cell_angle_alpha 90.00
_cell_angle_beta 90.00
_cell_angle_gamma 90.00
_symmetry_space_group_name_H-M 'I m m 2'
_symmetry_Int_Tables_number 44
_symmetry_space_group_name_Hall 'I 2 -2'
loop_
_atom_site_label
_atom_site_fract_x
_atom_site_fract_y
_atom_site_fract_z
Sm1 0.0000 0.0000 0.0000
Sm2 0.0000 0.1428 0.4502
Sm3 0.0000 0.3118 0.6294
Sm4 0.0000 0.3420 0.3209
Pb1 0.0000 0.0000 0.6810
Pb2 0.0000 0.5000 0.7702
C1 0.0000 0.2296 0.9619
```

| no. | N(E_F) (states/eV per cell) |
| --- | --- |
| 1 | 55.824 |
| 2 | 76.226 |
| 3 | 10.176 |
| 4 | 15.149 |